(1)
The following is a DFT calculation (PBE-GGA) of a relaxed structure of Y4GaSn2.

Lattice parameters (Å, degrees): 5.214 5.214 16.145 90.00 90.00 90.00
Space group I4/mmm (No. 139)
One atom of each set of equivalent atoms:
Y1 0.000 0.000 0.176 [4 per cell]
Y2 0.000 0.500 0.000 [4 per cell]
Ga1 0.000 0.000 0.000 [2 per cell]
Sn1 0.000 0.000 0.368 [4 per cell]

Output
**E above lowest polymorph**: 261 meV/atom
**Formation enthalpy at 0 K**: -375.3 meV per atom

(2)
The following is a DFT calculation (PBE-GGA) of a relaxed structure of NbTcPb2W.

Lattice parameters (Å, degrees): 5.422 5.422 4.668 90.00 90.00 90.00
Space group P4/mmm (No. 123)
One atom of each set of equivalent atoms:
Nb1 0.000 0.000 0.000 [1 per cell]
Tc1 0.000 0.000 0.500 [1 per cell]
Pb1 0.000 0.500 0.000 [2 per cell]
W1 0.500 0.500 0.500 [1 per cell]

Output
**Formation enthalpy at 0 K**: 1980.1 meV per atom

(3)
The following is a DFT calculation (PBE-GGA) of a relaxed structure of TiPd4Rh.

Lattice parameters (Å, degrees): 5.366 5.521 6.564 90.00 90.00 90.00
Space group P222 (No. 16)
One atom of each set of equivalent atoms:
Ti1 0.000 0.000 0.000 [1 per cell]
Ti2 0.000 0.500 0.500 [1 per cell]
Pd1 0.217 0.150 0.669 [4 per cell]
Pd2 0.320 0.338 0.263 [4 per cell]
Rh1 0.000 0.500 0.000 [1 per cell]
Rh2 0.500 0.000 0.000 [1 per cell]

Output
**E above lowest polymorph**: 210 meV/atom
**Formation enthalpy at 0 K**: -146.2 meV per atom

(4)
The following is a DFT calculation (PBE-GGA) of a relaxed structure of Pm2ErBr8.

Lattice parameters (Å, degrees): 14.146 6.962 7.844 90.00 91.11 90.00
Space group C2/m (No. 12)
One atom of each set of equivalent atoms:
Pm1 0.121 0.000 0.060 [4 per cell]
Er1 0.000 0.000 0.500 [2 per cell]
Br1 0.031 0.249 0.776 [8 per cell]
Br2 0.188 0.000 0.411 [4 per cell]
Br3 0.202 0.500 0.105 [4 per cell]

Output
**Formation energy (no corrections)**: -19.111 eV/f.u.

(5)
The following is a DFT calculation (PBE-GGA) of a relaxed structure of LiCe2Co.

Lattice parameters (Å, degrees): 3.489 3.489 7.270 90.00 90.00 90.00
Space group P4/mmm (No. 123)
One atom of each set of equivalent atoms:
Li1 0.000 0.000 0.000 [1 per cell]
Ce1 0.500 0.500 0.305 [2 per cell]
Co1 0.000 0.000 0.500 [1 per cell]

Output
**E above lowest polymorph**: 0 meV/atom
**Formation enthalpy at 0 K**: 30.7 meV per atom

(6)
The following is a DFT calculation (PBE-GGA) of a relaxed structure of Y2PaPtO8.

Lattice parameters (Å, degrees): 7.044 7.225 6.817 90.00 90.00 90.00
Space group Cmmm (No. 65)
One atom of each set of equivalent atoms:
Y1 0.000 0.000 0.242 [4 per cell]
Pa1 0.000 0.500 0.500 [2 per cell]
Pt1 0.000 0.500 0.000 [2 per cell]
O1 0.000 0.318 0.233 [8 per cell]
O2 0.200 0.000 0.500 [4 per cell]
O3 0.219 0.000 0.000 [4 per cell]

Output
**Formation energy (no corrections)**: -30.981 eV/f.u.

V in Å³ per cell, matching the order above: 439; 137; 194; 772; 88; 347
Final energy in eV per atom, matching the order above: -5.645; -6.181; -6.149; -4.233; -5.191; -8.259